Record 1
The following is a PBE calculation of MgNi2Pb after structural relaxation, from Alexandria.

Calculated values
Fermi-level density of states ... 3.0 states/eV per cell
DFT formation energy ... 69 meV/atom
Calculated total energy ... -4.15 eV per atom

```
MgNi2Pb
1.0
3.3018 0.0000 0.0000
0.0000 3.2864 0.0232
0.0000 3.2398 5.9898
Mg Ni Pb
1 2 1
Cartesian
1.6509 4.8946 4.5098
0.0000 3.2446 5.8820
0.0000 3.2584 3.1143
1.6509 1.6315 1.5033
```

Record 2
The following is a PBE calculation of LiSiNO after structural relaxation, from Alexandria.

Calculated values
Fermi-level density of states ... 0.0 states/eV per cell
Calculated total energy ... -7.01 eV per atom

```
LiSiNO
1.0
4.7842 0.0000 0.0000
0.0000 5.2397 0.0000
0.0000 0.0000 6.4448
N Si O Li
4 4 4 4
Cartesian
1.6853 3.1935 0.5411
1.6853 0.5736 5.9037
4.0774 4.6661 0.5411
4.0774 2.0462 5.9037
4.7292 3.0456 0.7705
2.3371 2.1941 5.6743
4.7292 0.4258 5.6743
2.3371 4.8139 0.7705
1.9594 2.8171 4.2333
4.3515 2.4226 2.2115
4.3515 5.0424 4.2333
1.9594 0.1973 2.2115
2.3904 4.7342 3.9660
4.7825 0.5055 2.4788
2.3904 2.1144 2.4788
4.7825 3.1253 3.9660
```

Record 3
The following is a PBE calculation of CrReSb2 after structural relaxation, from Alexandria.

Calculated values
Fermi-level density of states ... 3.0 states/eV per cell
Calculated total energy ... -6.74 eV per atom

```
CrReSb2
1.0
-3.5218 1.2502 -2.9440
-0.7000 -2.4215 -4.0349
-3.8197 -2.7981 -0.4629
Cr Sb Re
1 2 1
Cartesian
-4.0207 -1.9847 -3.7209
-6.0311 -2.9771 -5.5813
0.0000 0.0000 0.0000
-2.0104 -0.9924 -1.8604
```